Density functional theory data (PBE+U) for an optimized crystal structure of Ca3Mn3As4O16.

Cell: 9.254 5.260 17.605 Å, 90.00 117.03 90.00°
Positions (direct):
Ca: 0.000 0.000 0.000
Ca: 0.000 0.500 0.500
Ca: 0.312 0.042 0.271
Ca: 0.312 0.458 0.771
Ca: 0.688 0.542 0.229
Ca: 0.688 0.958 0.729
Mn: 0.194 0.518 0.377
Mn: 0.194 0.982 0.877
Mn: 0.500 0.000 0.500
Mn: 0.500 0.500 0.000
Mn: 0.806 0.018 0.123
Mn: 0.806 0.482 0.623
As: 0.034 0.510 0.154
As: 0.034 0.990 0.654
As: 0.437 0.508 0.601
As: 0.437 0.992 0.101
As: 0.563 0.008 0.899
As: 0.563 0.492 0.399
As: 0.966 0.010 0.346
As: 0.966 0.490 0.846
O: 0.033 0.661 0.641
O: 0.033 0.839 0.141
O: 0.087 0.153 0.588
O: 0.087 0.347 0.088
O: 0.156 0.579 0.856
O: 0.156 0.921 0.356
O: 0.179 0.061 0.757
O: 0.179 0.439 0.257
O: 0.257 0.548 0.510
O: 0.257 0.952 0.010
O: 0.421 0.198 0.913
O: 0.421 0.302 0.413
O: 0.434 0.612 0.691
O: 0.434 0.888 0.191
O: 0.489 0.702 0.893
O: 0.489 0.798 0.393
O: 0.511 0.202 0.607
O: 0.511 0.298 0.107
O: 0.566 0.112 0.809
O: 0.566 0.388 0.309
O: 0.579 0.698 0.587
O: 0.579 0.802 0.087
O: 0.743 0.048 0.990
O: 0.743 0.452 0.490
O: 0.821 0.561 0.743
O: 0.821 0.939 0.243
O: 0.844 0.079 0.644
O: 0.844 0.421 0.144
O: 0.913 0.653 0.912
O: 0.913 0.847 0.412
O: 0.967 0.161 0.859
O: 0.967 0.339 0.359

Values from the calculation:
DOS(E_F)	0.00	states/eV per cell
space-group type	P2_1/c, No. 14
total DFT energy (no corrections)	-6.759	eV/atom